(1)
Material: Dy6HoIn
Method: DFT, GGA-PBE
State: relaxed

```
data_Dy6HoIn
_symmetry_space_group_name_H-M 'P 4/m m m'
_symmetry_Int_Tables_number 123
_symmetry_space_group_name_Hall '-P 4 2'
_cell_length_a 4.896
_cell_length_b 4.896
_cell_length_c 9.988
_cell_angle_alpha 90.00
_cell_angle_beta 90.00
_cell_angle_gamma 90.00
loop_
_atom_site_label
_atom_site_fract_x
_atom_site_fract_y
_atom_site_fract_z
Dy1 0.000 0.000 0.000
Dy2 0.000 0.000 0.500
Dy3 0.000 0.500 0.245
Ho1 0.500 0.500 0.500
In1 0.500 0.500 0.000
```



(2)
Material: DyHo2In3
Method: DFT, GGA-PBE
State: relaxed

```
data_DyHo2In3
_symmetry_space_group_name_H-M 'P 4/m m m'
_symmetry_Int_Tables_number 123
_symmetry_space_group_name_Hall '-P 4 2'
_cell_length_a 3.549
_cell_length_b 3.549
_cell_length_c 12.509
_cell_angle_alpha 90.00
_cell_angle_beta 90.00
_cell_angle_gamma 90.00
loop_
_atom_site_label
_atom_site_fract_x
_atom_site_fract_y
_atom_site_fract_z
Dy1 0.000 0.000 0.000
Ho1 0.000 0.000 0.334
In1 0.500 0.500 0.168
In2 0.500 0.500 0.500
```



no.,DOS at the Fermi energy (states/eV per atom),E_form (eV per atom)
1,1.10,-0.12
2,0.56,-0.46